Record 1
Computed, not measured: crystalline PPbIO2 at its relaxed geometry at the PBE level of DFT.

Unit cell a=4.168 b=4.168 c=6.194 alpha=90.00 beta=90.00 gamma=90.00
Fractional coordinates of all 5 atoms:
P 0.000 0.000 0.000
Pb 0.000 0.000 0.500
I 0.500 0.500 0.000
O 0.000 0.500 0.500
O 0.500 0.000 0.500

magnetic moment: 0.6 μB/cell
E_form (uncorrected): 0.203 eV/atom
symmetry: P4/mmm

---

Record 2
Computed, not measured: crystalline Cs2CaZnCl6 at its relaxed geometry at the PBE level of DFT.

Unit cell a=7.441 b=7.441 c=7.441 alpha=60.00 beta=60.00 gamma=60.00
Fractional coordinates of all 10 atoms:
Cs 0.250 0.250 0.250
Cs 0.750 0.750 0.750
Ca 0.000 0.000 0.000
Zn 0.500 0.500 0.500
Cl 0.261 0.261 0.739
Cl 0.261 0.739 0.261
Cl 0.261 0.739 0.739
Cl 0.739 0.261 0.261
Cl 0.739 0.261 0.739
Cl 0.739 0.739 0.261

ΔE to the lowest computed polymorph: 0.011 eV/atom
magnetic moment: 0.0 μB/cell
E_form (uncorrected): -1.859 eV/atom
symmetry: Fm-3m

---

Record 3
Computed, not measured: crystalline K2FeCl2 at its relaxed geometry at the PBE level of DFT.

Unit cell a=6.356 b=6.356 c=8.963 alpha=90.00 beta=90.00 gamma=90.00
Fractional coordinates of all 10 atoms:
K 0.000 0.500 0.250
K 0.000 0.500 0.750
K 0.500 0.000 0.250
K 0.500 0.000 0.750
Fe 0.000 0.000 0.000
Fe 0.500 0.500 0.500
Cl 0.000 0.000 0.245
Cl 0.000 0.000 0.755
Cl 0.500 0.500 0.255
Cl 0.500 0.500 0.745

ΔE to the lowest computed polymorph: 0.000 eV/atom
magnetic moment: 4.5 μB/cell
E_form (uncorrected): -0.708 eV/atom
symmetry: I4/mmm

---

Record 4
Computed, not measured: crystalline Ce3Dy2ErTe6 at its relaxed geometry at the PBE level of DFT.

Unit cell a=7.577 b=7.577 c=7.776 alpha=99.34 beta=99.34 gamma=120.10
Fractional coordinates of all 12 atoms:
Ce 0.000 0.000 0.000
Ce 0.332 0.668 0.000
Ce 0.668 0.332 0.000
Dy 0.166 0.834 0.500
Dy 0.834 0.166 0.500
Er 0.500 0.500 0.500
Te 0.090 0.421 0.263
Te 0.249 0.249 0.739
Te 0.421 0.090 0.263
Te 0.579 0.910 0.737
Te 0.751 0.751 0.261
Te 0.910 0.579 0.737

magnetic moment: 3.6 μB/cell
E_form (uncorrected): -1.326 eV/atom
symmetry: C2/m

---

Record 5
Computed, not measured: crystalline K3Cd4F12 at its relaxed geometry at the PBE level of DFT.

Unit cell a=7.603 b=7.603 c=7.603 alpha=109.47 beta=109.47 gamma=109.47
Fractional coordinates of all 19 atoms:
K 0.000 0.500 0.500
K 0.500 0.000 0.500
K 0.500 0.500 0.000
Cd 0.000 0.000 0.500
Cd 0.000 0.500 0.000
Cd 0.500 0.000 0.000
Cd 0.500 0.500 0.500
F 0.057 0.768 0.289
F 0.232 0.289 0.520
F 0.232 0.711 0.943
F 0.289 0.057 0.768
F 0.289 0.520 0.232
F 0.480 0.768 0.711
F 0.520 0.232 0.289
F 0.711 0.480 0.768
F 0.711 0.943 0.232
F 0.768 0.289 0.057
F 0.768 0.711 0.480
F 0.943 0.232 0.711

magnetic moment: 0.0 μB/cell
E_form (uncorrected): -2.294 eV/atom
symmetry: Im-3

---

Record 6
Computed, not measured: crystalline KNaLi at its relaxed geometry at the PBE level of DFT.

Unit cell a=8.941 b=5.175 c=11.753 alpha=90.00 beta=90.13 gamma=90.00
Fractional coordinates of all 12 atoms:
K 0.167 0.000 0.347
K 0.333 0.500 0.653
K 0.667 0.500 0.347
K 0.833 0.000 0.653
Na 0.000 0.500 0.140
Na 0.000 0.500 0.860
Na 0.500 0.000 0.140
Na 0.500 0.000 0.860
Li 0.167 0.000 0.983
Li 0.333 0.500 0.017
Li 0.667 0.500 0.983
Li 0.833 0.000 0.017

ΔE to the lowest computed polymorph: 0.005 eV/atom
magnetic moment: 0.0 μB/cell
formation enthalpy at 0 K: 93 meV per atom
symmetry: C2/m

---

Record 7
Computed, not measured: crystalline TlFe2Co at its relaxed geometry at the PBE level of DFT.

Unit cell a=3.100 b=3.100 c=6.108 alpha=90.00 beta=90.00 gamma=90.00
Fractional coordinates of all 4 atoms:
Tl 0.000 0.000 0.000
Fe 0.000 0.000 0.494
Fe 0.500 0.500 0.696
Co 0.500 0.500 0.298

magnetic moment: 7.0 μB/cell
formation enthalpy at 0 K: 344 meV per atom
symmetry: P4mm

---

Record 8
Computed, not measured: crystalline PuIn2Au9 at its relaxed geometry at the PBE level of DFT.

Unit cell a=9.836 b=9.836 c=9.836 alpha=33.12 beta=33.12 gamma=33.12
Fractional coordinates of all 12 atoms:
Pu 0.000 0.000 0.000
In 0.142 0.142 0.142
In 0.858 0.858 0.858
Au 0.081 0.586 0.586
Au 0.333 0.333 0.333
Au 0.414 0.414 0.919
Au 0.414 0.919 0.414
Au 0.500 0.500 0.500
Au 0.586 0.081 0.586
Au 0.586 0.586 0.081
Au 0.667 0.667 0.667
Au 0.919 0.414 0.414

magnetic moment: 5.9 μB/cell
formation enthalpy at 0 K: -142 meV per atom
symmetry: R-3m

---

Record 9
Computed, not measured: crystalline TaOF3 at its relaxed geometry at the PBE level of DFT.

Unit cell a=3.869 b=4.100 c=9.109 alpha=90.00 beta=90.00 gamma=90.00
Fractional coordinates of all 10 atoms:
Ta 0.000 0.000 0.000
Ta 0.500 0.500 0.500
O 0.000 0.500 0.500
O 0.500 0.000 0.000
F 0.000 0.000 0.209
F 0.000 0.000 0.791
F 0.000 0.500 0.000
F 0.500 0.000 0.500
F 0.500 0.500 0.291
F 0.500 0.500 0.709

magnetic moment: 0.0 μB/cell
E_form (uncorrected): -3.060 eV/atom
symmetry: Immm

---

Record 10
Computed, not measured: crystalline Hf3MgTa at its relaxed geometry at the PBE level of DFT.

Unit cell a=4.915 b=4.915 c=4.915 alpha=90.00 beta=90.00 gamma=90.00
Fractional coordinates of all 5 atoms:
Hf 0.000 0.000 0.500
Hf 0.000 0.500 0.000
Hf 0.500 0.000 0.000
Mg 0.000 0.000 0.000
Ta 0.500 0.500 0.500

ΔE to the lowest computed polymorph: 0.548 eV/atom
magnetic moment: 0.0 μB/cell
formation enthalpy at 0 K: 1546 meV per atom
symmetry: Pm-3m

---

Record 11
Computed, not measured: crystalline CaHoEr at its relaxed geometry at the PBE level of DFT.

Unit cell a=4.883 b=4.883 c=8.794 alpha=90.00 beta=90.00 gamma=90.00
Fractional coordinates of all 6 atoms:
Ca 0.250 0.250 0.178
Ca 0.750 0.750 0.822
Ho 0.250 0.250 0.781
Ho 0.750 0.750 0.219
Er 0.250 0.750 0.500
Er 0.750 0.250 0.500

ΔE to the lowest computed polymorph: 0.220 eV/atom
magnetic moment: 0.0 μB/cell
formation enthalpy at 0 K: 284 meV per atom
symmetry: P4/nmm

---

Record 12
Computed, not measured: crystalline Rb2MnReBr6 at its relaxed geometry at the PBE level of DFT.

Unit cell a=7.496 b=7.496 c=7.496 alpha=119.97 beta=119.97 gamma=90.06
Fractional coordinates of all 10 atoms:
Rb 0.250 0.750 0.500
Rb 0.750 0.250 0.500
Mn 0.000 0.000 0.000
Re 0.500 0.500 0.000
Br 0.255 0.255 0.000
Br 0.255 0.255 0.510
Br 0.255 0.745 0.000
Br 0.745 0.255 0.000
Br 0.745 0.745 0.000
Br 0.745 0.745 0.490

magnetic moment: 6.3 μB/cell
E_form (uncorrected): -0.698 eV/atom
symmetry: I4/mmm

---

Record 13
Computed, not measured: crystalline Dy2Ga6Co at its relaxed geometry at the PBE level of DFT.

Unit cell a=5.831 b=5.831 c=5.535 alpha=90.00 beta=90.00 gamma=120.00
Fractional coordinates of all 9 atoms:
Dy 0.333 0.667 0.334
Dy 0.667 0.333 0.666
Ga 0.173 0.346 0.809
Ga 0.173 0.827 0.809
Ga 0.346 0.173 0.191
Ga 0.654 0.827 0.809
Ga 0.827 0.173 0.191
Ga 0.827 0.654 0.191
Co 0.000 0.000 0.500

ΔE to the lowest computed polymorph: 0.056 eV/atom
magnetic moment: 0.9 μB/cell
formation enthalpy at 0 K: -492 meV per atom
symmetry: P-3m1

---

Record 14
Computed, not measured: crystalline NdSmRu at its relaxed geometry at the PBE level of DFT.

Unit cell a=3.482 b=3.482 c=13.585 alpha=90.00 beta=90.00 gamma=90.00
Fractional coordinates of all 6 atoms:
Nd 0.000 0.000 0.000
Nd 0.500 0.500 0.500
Sm 0.000 0.000 0.250
Sm 0.500 0.500 0.750
Ru 0.000 0.000 0.627
Ru 0.500 0.500 0.127

ΔE to the lowest computed polymorph: 0.000 eV/atom
magnetic moment: 0.0 μB/cell
formation enthalpy at 0 K: -181 meV per atom
symmetry: I4mm

---

Record 15
Computed, not measured: crystalline SrInPb2 at its relaxed geometry at the PBE level of DFT.

Unit cell a=6.873 b=11.595 c=3.685 alpha=90.00 beta=118.45 gamma=90.00
Fractional coordinates of all 8 atoms:
Sr 0.000 0.000 0.000
Sr 0.500 0.500 0.000
In 0.000 0.500 0.000
In 0.500 0.000 0.000
Pb 0.250 0.250 0.500
Pb 0.250 0.750 0.500
Pb 0.750 0.250 0.500
Pb 0.750 0.750 0.500

magnetic moment: 0.0 μB/cell
formation enthalpy at 0 K: -188 meV per atom
symmetry: C2/m

---

Record 16
Computed, not measured: crystalline Ac12TmPb7 at its relaxed geometry at the PBE level of DFT.

Unit cell a=10.294 b=10.294 c=10.294 alpha=110.74 beta=110.74 gamma=110.74
Fractional coordinates of all 20 atoms:
Ac 0.000 0.272 0.728
Ac 0.000 0.728 0.272
Ac 0.168 0.493 0.493
Ac 0.272 0.000 0.728
Ac 0.272 0.728 0.000
Ac 0.493 0.168 0.493
Ac 0.493 0.493 0.168
Ac 0.507 0.507 0.832
Ac 0.507 0.832 0.507
Ac 0.728 0.000 0.272
Ac 0.728 0.272 0.000
Ac 0.832 0.507 0.507
Tm 0.000 0.000 0.000
Pb 0.132 0.132 0.434
Pb 0.132 0.434 0.132
Pb 0.434 0.132 0.132
Pb 0.500 0.500 0.500
Pb 0.566 0.868 0.868
Pb 0.868 0.566 0.868
Pb 0.868 0.868 0.566

magnetic moment: 0.0 μB/cell
formation enthalpy at 0 K: -224 meV per atom
symmetry: R-3m

---

Record 17
Computed, not measured: crystalline Ca2TeSe at its relaxed geometry at the PBE level of DFT.

Unit cell a=4.296 b=4.296 c=22.410 alpha=90.00 beta=90.00 gamma=120.00
Fractional coordinates of all 12 atoms:
Ca 0.000 0.000 0.000
Ca 0.000 0.000 0.178
Ca 0.333 0.667 0.667
Ca 0.333 0.667 0.845
Ca 0.667 0.333 0.333
Ca 0.667 0.333 0.512
Te 0.000 0.000 0.757
Te 0.333 0.667 0.424
Te 0.667 0.333 0.091
Se 0.000 0.000 0.587
Se 0.333 0.667 0.254
Se 0.667 0.333 0.921

ΔE to the lowest computed polymorph: 0.073 eV/atom
magnetic moment: 0.0 μB/cell
E_form (uncorrected): -1.749 eV/atom
symmetry: R3m

---

Record 18
Computed, not measured: crystalline Li6CdAu at its relaxed geometry at the PBE level of DFT.

Unit cell a=4.758 b=5.783 c=9.955 alpha=90.00 beta=90.00 gamma=90.00
Fractional coordinates of all 16 atoms:
Li 0.000 0.000 0.000
Li 0.000 0.237 0.762
Li 0.000 0.263 0.262
Li 0.000 0.500 0.500
Li 0.000 0.737 0.262
Li 0.000 0.763 0.762
Li 0.500 0.000 0.341
Li 0.500 0.247 0.589
Li 0.500 0.253 0.089
Li 0.500 0.500 0.841
Li 0.500 0.747 0.089
Li 0.500 0.753 0.589
Cd 0.000 0.000 0.508
Cd 0.000 0.500 0.008
Au 0.500 0.000 0.840
Au 0.500 0.500 0.340

magnetic moment: 0.0 μB/cell
formation enthalpy at 0 K: -261 meV per atom
symmetry: Amm2

---

Record 19
Computed, not measured: crystalline MnTlCd2 at its relaxed geometry at the PBE level of DFT.

Unit cell a=4.336 b=4.336 c=4.527 alpha=90.00 beta=90.00 gamma=90.00
Fractional coordinates of all 4 atoms:
Mn 0.000 0.000 0.000
Tl 0.500 0.500 0.000
Cd 0.000 0.500 0.500
Cd 0.500 0.000 0.500

ΔE to the lowest computed polymorph: 0.067 eV/atom
magnetic moment: 3.7 μB/cell
formation enthalpy at 0 K: 281 meV per atom
symmetry: P4/mmm

---

Record 20
Computed, not measured: crystalline ZrInSnPb2 at its relaxed geometry at the PBE level of DFT.

Unit cell a=5.575 b=5.575 c=5.583 alpha=90.00 beta=90.00 gamma=90.00
Fractional coordinates of all 5 atoms:
Zr 0.000 0.000 0.000
In 0.000 0.000 0.500
Sn 0.500 0.500 0.000
Pb 0.000 0.500 0.500
Pb 0.500 0.000 0.500

magnetic moment: 0.0 μB/cell
formation enthalpy at 0 K: 783 meV per atom
symmetry: P4/mmm

---

Record 21
Computed, not measured: crystalline ZnPRu at its relaxed geometry at the PBE level of DFT.

Unit cell a=3.029 b=3.029 c=9.299 alpha=90.00 beta=90.00 gamma=90.00
Fractional coordinates of all 6 atoms:
Zn 0.000 0.000 0.000
Zn 0.500 0.500 0.500
P 0.000 0.000 0.308
P 0.500 0.500 0.808
Ru 0.000 0.000 0.694
Ru 0.500 0.500 0.194

magnetic moment: 0.0 μB/cell
formation enthalpy at 0 K: -223 meV per atom
symmetry: I4mm

---

Record 22
Computed, not measured: crystalline SbPb3O at its relaxed geometry at the PBE level of DFT.

Unit cell a=5.957 b=5.957 c=5.957 alpha=90.00 beta=90.00 gamma=90.00
Fractional coordinates of all 5 atoms:
Sb 0.000 0.000 0.000
Pb 0.000 0.000 0.500
Pb 0.000 0.500 0.000
Pb 0.500 0.000 0.000
O 0.500 0.500 0.500

ΔE to the lowest computed polymorph: 1.206 eV/atom
magnetic moment: 0.9 μB/cell
E_form (uncorrected): 0.901 eV/atom
symmetry: Pm-3m

---

Record 23
Computed, not measured: crystalline Ca2NdY at its relaxed geometry at the PBE level of DFT.

Unit cell a=4.179 b=4.179 c=8.379 alpha=90.00 beta=90.00 gamma=90.00
Fractional coordinates of all 4 atoms:
Ca 0.000 0.000 0.245
Ca 0.000 0.000 0.755
Nd 0.500 0.500 0.500
Y 0.500 0.500 0.000

ΔE to the lowest computed polymorph: 0.043 eV/atom
magnetic moment: 0.0 μB/cell
formation enthalpy at 0 K: 143 meV per atom
symmetry: P4/mmm

---

Record 24
Computed, not measured: crystalline RbPSe4 at its relaxed geometry at the PBE level of DFT.

Unit cell a=8.577 b=7.335 c=7.335 alpha=124.74 beta=90.00 gamma=90.00
Fractional coordinates of all 12 atoms:
Rb 0.000 0.000 0.000
Rb 0.500 0.000 0.000
P 0.250 0.604 0.222
P 0.750 0.222 0.604
Se 0.079 0.495 0.943
Se 0.250 0.437 0.386
Se 0.250 0.979 0.480
Se 0.421 0.495 0.943
Se 0.579 0.943 0.495
Se 0.750 0.386 0.437
Se 0.750 0.480 0.979
Se 0.921 0.943 0.495

ΔE to the lowest computed polymorph: 0.000 eV/atom
magnetic moment: 0.0 μB/cell
E_form (uncorrected): -0.369 eV/atom
symmetry: Ama2

---

Record 25
Computed, not measured: crystalline Mn2CoBr at its relaxed geometry at the PBE level of DFT.

Unit cell a=6.167 b=6.167 c=6.167 alpha=90.00 beta=90.00 gamma=90.00
Fractional coordinates of all 16 atoms:
Mn 0.000 0.000 0.000
Mn 0.000 0.500 0.500
Mn 0.250 0.250 0.250
Mn 0.250 0.750 0.750
Mn 0.500 0.000 0.500
Mn 0.500 0.500 0.000
Mn 0.750 0.250 0.750
Mn 0.750 0.750 0.250
Co 0.000 0.000 0.500
Co 0.000 0.500 0.000
Co 0.500 0.000 0.000
Co 0.500 0.500 0.500
Br 0.250 0.250 0.750
Br 0.250 0.750 0.250
Br 0.750 0.250 0.250
Br 0.750 0.750 0.750

ΔE to the lowest computed polymorph: 0.509 eV/atom
magnetic moment: 2.2 μB/cell
E_form (uncorrected): 0.733 eV/atom
symmetry: F-43m

---

Number 1: uncorrected energy -3.9139 eV/atom. Number 2: uncorrected energy -3.4652 eV/atom. Number 3: uncorrected energy -3.5783 eV/atom. Number 4: uncorrected energy -5.5278 eV/atom. Number 5: uncorrected energy -3.8418 eV/atom. Number 6: uncorrected energy -1.3508 eV/atom. Number 7: uncorrected energy -6.2558 eV/atom. Number 8: uncorrected energy -4.2508 eV/atom. Number 9: uncorrected energy -7.5452 eV/atom. Number 10: uncorrected energy -7.1159 eV/atom. Number 11: uncorrected energy -3.4301 eV/atom. Number 12: uncorrected energy -4.0568 eV/atom. Number 13: uncorrected energy -4.3222 eV/atom. Number 14: uncorrected energy -6.4353 eV/atom. Number 15: uncorrected energy -3.1476 eV/atom. Number 16: uncorrected energy -4.2104 eV/atom. Number 17: uncorrected energy -4.4067 eV/atom. Number 18: uncorrected energy -2.2208 eV/atom. Number 19: uncorrected energy -3.0606 eV/atom. Number 20: uncorrected energy -3.7587 eV/atom. Number 21: uncorrected energy -5.5427 eV/atom. Number 22: uncorrected energy -3.1403 eV/atom. Number 23: uncorrected energy -3.6661 eV/atom. Number 24: uncorrected energy -3.7550 eV/atom. Number 25: uncorrected energy -6.0463 eV/atom.